No. 1
## Nb3Mo2Rh2 (PBE-GGA)

Data for a relaxed Nb3Mo2Rh2 crystal.

Cell: 4.5124 4.5125 7.0054 Å, 108.80 89.96 120.05°
Fractional coordinates of all 7 atoms:
Nb  0.4297  0.8598  0.2896
Nb  0.0000  0.0000  0.0000
Nb  0.5703  0.1402  0.7104
Rh  0.1370  0.2742  0.4112
Rh  0.8630  0.7258  0.5888
Mo  0.7147  0.4297  0.1444
Mo  0.2853  0.5703  0.8556

Space group ... No. 166
ΔE_f ... -0.208 eV/atom
Energy ... -9.718 eV/atom

No. 2
## PrDy3Sc6 (PBE-GGA)

Data for a relaxed PrDy3Sc6 crystal.

Cell: 9.3017 9.3017 6.5553 Å, 44.81 44.81 60.00°
Fractional coordinates of all 10 atoms:
Dy  0.6478  0.6478  0.0565
Dy  0.4003  0.4003  0.7992
Dy  0.1527  0.1527  0.5419
Sc  0.0722  0.3998  0.8006
Sc  0.7274  0.0722  0.8006
Sc  0.2320  0.8998  0.3004
Sc  0.3998  0.7274  0.8006
Sc  0.8998  0.5678  0.3004
Sc  0.5678  0.2320  0.3004
Pr  0.9002  0.9002  0.2995

Space group ... No. 155
ΔE_f ... 0.408 eV/atom
Energy ... -5.250 eV/atom
Energy above the most stable polymorph in this dataset ... 0.249 eV/atom

No. 3
## UNb2Pd (PBE-GGA)

Data for a relaxed UNb2Pd crystal.

Cell: 2.9800 4.9525 4.9525 Å, 90.00 90.00 90.00°
Fractional coordinates of all 4 atoms:
Nb  0.0000  0.5000  0.0000
Nb  0.0000  0.0000  0.5000
U  0.5000  0.5000  0.5000
Pd  0.5000  0.0000  0.0000

Space group ... No. 123
ΔE_f ... 0.015 eV/atom
Energy ... -9.140 eV/atom
Energy above the most stable polymorph in this dataset ... 0.000 eV/atom

No. 4
## YHo3Pt2 (PBE-GGA)

Data for a relaxed YHo3Pt2 crystal.

Cell: 4.7594 7.1469 8.7684 Å, 90.00 90.00 90.00°
Fractional coordinates of all 12 atoms:
Ho  0.5000  0.1439  0.8309
Ho  0.5000  0.6439  0.1691
Ho  0.0000  0.9902  0.0829
Ho  0.0000  0.3561  0.3294
Ho  0.0000  0.8561  0.6706
Ho  0.0000  0.4902  0.9171
Pt  0.5000  0.2431  0.1552
Pt  0.5000  0.7431  0.8448
Pt  0.0000  0.7568  0.3428
Pt  0.0000  0.2568  0.6572
Y  0.5000  0.5099  0.5814
Y  0.5000  0.0099  0.4186

Space group ... No. 26
ΔE_f ... -0.966 eV/atom
Energy ... -6.346 eV/atom
Energy above the most stable polymorph in this dataset ... 0.000 eV/atom